# PBE+U ZnNiP2O, relaxed
# E above lowest polymorph	325	meV per atom
# crystal system	tetragonal
data_ZnNiP2O
_chemical_formula_sum 'Zn1 Ni1 P2 O1'
_cell_length_a 4.865
_cell_length_b 4.865
_cell_length_c 3.512
_cell_angle_alpha 90.00
_cell_angle_beta 90.00
_cell_angle_gamma 90.00
_space_group_name_H-M_alt 'P 4/m m m'
_space_group_IT_number 123
_space_group_name_Hall '-P 4 2'
loop_
_atom_site_label
_atom_site_type_symbol
_atom_site_fract_x
_atom_site_fract_y
_atom_site_fract_z
Zn1 Zn 0.000 0.000 0.000
Ni1 Ni 0.500 0.500 0.500
P1 P 0.000 0.500 0.000
O1 O 0.000 0.000 0.500